This record from Alexandria via LeMat-Bulk describes a relaxed Tb6Pr2DyEr3 crystal. The functional is GGA-PBE.

Calculated values
size of the total moment: 0.000 μB/cell
energy of formation from the pure elements: 0.018 eV per atom

Unit cell a=6.184 b=6.184 c=11.835 alpha=94.98 beta=94.98 gamma=119.97
Element x y z (fractional)
Tb1 0.915 0.583 0.746
Tb2 0.753 0.753 0.254
Tb3 0.085 0.417 0.254
Tb4 0.583 0.915 0.746
Tb5 0.247 0.247 0.746
Tb6 0.417 0.085 0.254
Pr1 0.333 0.667 0.000
Pr2 0.667 0.333 0.000
Dy1 0.000 0.000 0.000
Er1 0.166 0.834 0.500
Er2 0.834 0.166 0.500
Er3 0.500 0.500 0.500



This record from Alexandria via LeMat-Bulk describes a relaxed ReW crystal. The functional is GGA-PBE.

Calculated values
E above lowest polymorph: 127.7 meV/atom
size of the total moment: 0.000 μB/cell
energy of formation from the pure elements: 0.220 eV per atom

Unit cell a=2.790 b=2.790 c=9.488 alpha=81.55 beta=81.55 gamma=60.00
Element x y z (fractional)
Re1 0.003 0.003 0.991
Re2 0.747 0.747 0.759
W1 0.498 0.498 0.506
W2 0.252 0.252 0.244